No. 1
This record from Alexandria describes a geometry-optimized HfNbIN2 structure. The functional is PBE.

It has space group P4/mmm (No. 123), with a = 4.2009 Å, b = 4.2009 Å, c = 5.6953 Å, α = 90.00°, β = 90.00° and γ = 90.00°. The inequivalent atoms are Hf at (0.0000, 0.0000, 0.0000), Nb at (0.5000, 0.5000, 0.5000), I at (0.0000, 0.0000, 0.5000) and N at (0.0000, 0.5000, 0.0000).

The energy above the lowest structure with this stoichiometry is 0.015 eV/atom. The total moment is 2.489 μB per cell.

***

No. 2
This record from Alexandria describes a geometry-optimized HfNbIN2 structure. The functional is PBE.

It has space group P4/mmm (No. 123), with a = 4.1181 Å, b = 4.1181 Å, c = 5.4544 Å, α = 90.00°, β = 90.00° and γ = 90.00°. The inequivalent atoms are Hf at (0.0000, 0.0000, 0.0000), Nb at (0.5000, 0.5000, 0.5000), I at (0.5000, 0.5000, 0.0000) and N at (0.0000, 0.5000, 0.5000).

The energy above the lowest structure with this stoichiometry is 0.000 eV/atom. The total moment is 0.159 μB per cell.